# Rb4NiI5

A geometry-optimized Rb4NiI5 structure (GGA-PBE, Alexandria via LeMat-Bulk).

a = 7.4348 Å, b = 8.6883 Å, c = 8.6883 Å
α = 79.45°, β = 64.67°, γ = 64.67°
Positions (direct):
Rb  0.8046  0.7888  0.6125
I  0.7516  0.1668  0.3305
Rb  0.2058  0.2112  0.3875
I  0.0820  0.6695  0.1668
Rb  0.4170  0.3875  0.7888
I  0.9184  0.3305  0.8332
I  0.2488  0.8332  0.6695
Rb  0.5933  0.6125  0.2112
I  0.4207  0.0000  0.0000
Ni  0.0680  0.0000  0.0000

Output
Total energy = -27.7 eV per cell
Uncorrected formation energy = -1032 meV/atom
DOS(E_F) = 6.3 states/eV/cell

---

# RbNiI

A geometry-optimized RbNiI structure (GGA-PBE, Alexandria via LeMat-Bulk).

a = 6.2242 Å, b = 6.2242 Å, c = 9.3794 Å
α = 90.00°, β = 90.00°, γ = 120.00°
Positions (direct):
Rb  0.3333  0.6667  0.2500
I  0.0000  0.0000  0.2500
I  0.0000  0.0000  0.7500
Ni  0.0000  0.0000  0.0000
Rb  0.6667  0.3333  0.7500
Ni  0.0000  0.0000  0.5000

Output
Polymorph energy (0 for the lowest one) = 0.276 eV/atom
Total energy = -16.9 eV per cell
Uncorrected formation energy = -44 meV/atom
DOS(E_F) = 0.0 states/eV/cell

---

# RbNi2I

A geometry-optimized RbNi2I structure (GGA-PBE, Alexandria via LeMat-Bulk).

a = 4.9154 Å, b = 4.9154 Å, c = 4.9154 Å
α = 60.00°, β = 60.00°, γ = 60.00°
Positions (direct):
Rb  0.0000  0.0000  0.0000
Ni  0.2500  0.2500  0.2500
I  0.5000  0.5000  0.5000
Ni  0.7500  0.7500  0.7500

Output
Polymorph energy (0 for the lowest one) = 0.621 eV/atom
Total energy = -10.5 eV per cell
Uncorrected formation energy = 898 meV/atom
DOS(E_F) = 0.8 states/eV/cell

---

# Rb4NiI6

A geometry-optimized Rb4NiI6 structure (GGA-PBE, Alexandria via LeMat-Bulk).

a = 9.9521 Å, b = 9.9521 Å, c = 10.3664 Å
α = 90.00°, β = 90.00°, γ = 90.00°
Positions (direct):
Rb  0.6737  0.8263  0.2500
Rb  0.1737  0.6737  0.2500
I  0.4155  0.7803  0.0000
Ni  0.5000  0.5000  0.0000
Rb  0.8263  0.3263  0.7500
I  0.0000  0.0000  0.2337
I  0.9155  0.7197  0.5000
I  0.5000  0.5000  0.7337
I  0.2803  0.9155  0.5000
Ni  0.0000  0.0000  0.5000
I  0.2197  0.4155  0.0000
I  0.0845  0.2803  0.5000
Rb  0.3263  0.1737  0.7500
Rb  0.3263  0.1737  0.2500
I  0.7197  0.0845  0.5000
I  0.0000  0.0000  0.7663
Rb  0.6737  0.8263  0.7500
I  0.7803  0.5845  0.0000
Rb  0.1737  0.6737  0.7500
Rb  0.8263  0.3263  0.2500
I  0.5000  0.5000  0.2663
I  0.5845  0.2197  0.0000

Output
Total energy = -61.0 eV per cell
Uncorrected formation energy = -1051 meV/atom

---

# RbNi2I

A geometry-optimized RbNi2I structure (GGA-PBE, Alexandria via LeMat-Bulk).

a = 5.2894 Å, b = 5.2894 Å, c = 8.9301 Å
α = 72.77°, β = 72.77°, γ = 90.00°
Positions (direct):
I  0.0000  0.0000  0.0000
Ni  0.8750  0.1248  0.7500
Ni  0.3750  0.1252  0.7500
Ni  0.8748  0.1250  0.2500
Ni  0.8752  0.6250  0.2500
I  0.7500  0.2500  0.5000
Rb  0.5000  0.5000  0.0000
Rb  0.2500  0.7500  0.5000

Output
Polymorph energy (0 for the lowest one) = 0.000 eV/atom
Total energy = -25.9 eV per cell
Uncorrected formation energy = 277 meV/atom
DOS(E_F) = 0.9 states/eV/cell

---

# RbNiI

A geometry-optimized RbNiI structure (GGA-PBE, Alexandria via LeMat-Bulk).

a = 5.4164 Å, b = 5.4164 Å, c = 6.3268 Å
α = 90.00°, β = 90.00°, γ = 90.00°
Positions (direct):
Ni  0.0000  0.5000  0.5542
I  0.5000  0.5000  0.5000
Rb  0.0000  0.5000  0.0763
Rb  0.5000  0.0000  0.9237
I  0.0000  0.0000  0.5000
Ni  0.5000  0.0000  0.4458

Output
Polymorph energy (0 for the lowest one) = 0.410 eV/atom
Total energy = -16.1 eV per cell
Uncorrected formation energy = 90 meV/atom
DOS(E_F) = 3.2 states/eV/cell

---

# RbNi3I

A geometry-optimized RbNi3I structure (GGA-PBE, Alexandria via LeMat-Bulk).

a = 4.8283 Å, b = 4.8283 Å, c = 4.8283 Å
α = 90.00°, β = 90.00°, γ = 90.00°
Positions (direct):
Ni  0.5000  0.0000  0.0000
Ni  0.0000  0.0000  0.5000
I  0.0000  0.0000  0.0000
Rb  0.5000  0.5000  0.5000
Ni  0.0000  0.5000  0.0000

Output
Polymorph energy (0 for the lowest one) = 0.000 eV/atom
Total energy = -15.9 eV per cell
Uncorrected formation energy = 797 meV/atom
DOS(E_F) = 0.1 states/eV/cell

---

# RbNiI

A geometry-optimized RbNiI structure (GGA-PBE, Alexandria via LeMat-Bulk).

a = 16.3680 Å, b = 8.2127 Å, c = 8.2127 Å
α = 140.95°, β = 153.38°, γ = 26.62°
Positions (direct):
I  0.6809  0.2223  0.7777
Ni  0.4350  0.6033  0.3967
Rb  0.6767  0.9766  0.0234
Ni  0.9352  0.0996  0.9004
I  0.1737  0.9962  0.0038
Rb  0.1830  0.2362  0.7638

Output
Polymorph energy (0 for the lowest one) = 0.000 eV/atom
Total energy = -18.5 eV per cell
Uncorrected formation energy = -320 meV/atom
DOS(E_F) = 0.0 states/eV/cell

---

# RbNi2I2

A geometry-optimized RbNi2I2 structure (GGA-PBE, Alexandria via LeMat-Bulk).

a = 4.1731 Å, b = 4.1731 Å, c = 8.0928 Å
α = 75.06°, β = 75.06°, γ = 90.00°
Positions (direct):
I  0.6470  0.6470  0.7059
I  0.3530  0.3530  0.2941
Rb  0.0000  0.0000  0.0000
Ni  0.2500  0.7500  0.5000
Ni  0.7500  0.2500  0.5000

Output
Polymorph energy (0 for the lowest one) = 0.000 eV/atom
Total energy = -16.2 eV per cell
Uncorrected formation energy = -115 meV/atom
DOS(E_F) = 30.8 states/eV/cell

---

# RbNiI

A geometry-optimized RbNiI structure (GGA-PBE, Alexandria via LeMat-Bulk).

a = 4.4899 Å, b = 5.4627 Å, c = 9.3473 Å
α = 106.85°, β = 89.86°, γ = 90.00°
Positions (direct):
Rb  0.2877  0.8468  0.9816
I  0.7904  0.5237  0.3429
Ni  0.7917  0.3936  0.0762
I  0.7869  0.2595  0.8036
Ni  0.2912  0.4636  0.2189
Rb  0.2886  0.0885  0.4734

Output
Polymorph energy (0 for the lowest one) = 0.027 eV/atom
Total energy = -18.4 eV per cell
Uncorrected formation energy = -293 meV/atom
DOS(E_F) = 3.4 states/eV/cell

---

# RbNiI

A geometry-optimized RbNiI structure (GGA-PBE, Alexandria via LeMat-Bulk).

a = 13.9610 Å, b = 7.2580 Å, c = 7.2580 Å
α = 144.79°, β = 147.77°, γ = 32.23°
Positions (direct):
Rb  0.1954  0.0164  0.6262
I  0.2797  0.6702  0.9793
I  0.7203  0.9793  0.6702
Rb  0.8046  0.6262  0.0164
Ni  0.5716  0.5757  0.1610
Ni  0.4284  0.1610  0.5757

Output
Polymorph energy (0 for the lowest one) = 0.035 eV/atom
Total energy = -18.3 eV per cell
Uncorrected formation energy = -286 meV/atom
DOS(E_F) = 0.8 states/eV/cell

---

# Rb3Ni5I12

A geometry-optimized Rb3Ni5I12 structure (GGA-PBE, Alexandria via LeMat-Bulk).

a = 15.5195 Å, b = 15.5195 Å, c = 15.5195 Å
α = 109.47°, β = 109.47°, γ = 109.47°
Positions (direct):
I  0.0060  0.4008  0.8179
I  0.3179  0.8119  0.4171
Rb  0.1250  0.2500  0.8750
I  0.8948  0.3119  0.4940
Ni  0.5000  0.0000  0.5000
Ni  0.2500  0.3750  0.6250
Ni  0.8750  0.6250  0.7500
Rb  0.1250  0.8750  0.7500
I  0.1881  0.5060  0.6052
I  0.1821  0.0829  0.6881
I  0.3119  0.4171  0.8179
I  0.4940  0.8119  0.8948
I  0.0992  0.1821  0.4940
I  0.5060  0.1881  0.1052
I  0.6821  0.4940  0.5992
Ni  0.0000  0.5000  0.0000
Rb  0.8750  0.7500  0.1250
I  0.0829  0.1821  0.1881
I  0.6821  0.1881  0.5829
Ni  0.7500  0.1250  0.8750
Ni  0.2500  0.8750  0.1250
I  0.8119  0.3179  0.9171
Rb  0.8750  0.1250  0.2500
I  0.9008  0.8179  0.5060
I  0.1052  0.4171  0.0992
I  0.0060  0.6052  0.6881
I  0.4008  0.0060  0.3179
I  0.5829  0.8948  0.4008
Ni  0.6250  0.7500  0.8750
Ni  0.1250  0.7500  0.3750
I  0.4008  0.3948  0.5829
I  0.0829  0.9008  0.3948
Rb  0.7500  0.3750  0.1250
Rb  0.2500  0.1250  0.3750
Ni  0.0000  0.0000  0.5000
I  0.1052  0.6881  0.5060
I  0.8179  0.9008  0.0060
I  0.9008  0.0829  0.8948
I  0.9940  0.3948  0.3119
I  0.1821  0.0992  0.9940
Ni  0.6250  0.8750  0.2500
I  0.1881  0.6821  0.0829
I  0.6881  0.5829  0.1821
I  0.3119  0.8948  0.9940
I  0.4171  0.3119  0.3179
Ni  0.3750  0.2500  0.1250
Ni  0.5000  0.5000  0.0000
Ni  0.5000  0.0000  0.0000
I  0.9940  0.5992  0.1821
I  0.4171  0.1052  0.5992
Rb  0.3750  0.6250  0.2500
Ni  0.8750  0.2500  0.6250
I  0.6052  0.0060  0.1881
Rb  0.7500  0.8750  0.6250
Ni  0.5000  0.5000  0.5000
I  0.3948  0.4008  0.0829
Rb  0.2500  0.6250  0.8750
Ni  0.0000  0.0000  0.0000
I  0.5992  0.6052  0.4171
I  0.8948  0.5829  0.9008
Ni  0.3750  0.1250  0.7500
I  0.6881  0.1052  0.0060
Rb  0.3750  0.7500  0.6250
I  0.0992  0.9171  0.1052
Ni  0.1250  0.3750  0.2500
Ni  0.7500  0.6250  0.3750
Rb  0.6250  0.2500  0.3750
I  0.5992  0.9940  0.6821
I  0.8119  0.4940  0.3948
Rb  0.6250  0.3750  0.7500
I  0.5829  0.6881  0.6821
I  0.9171  0.0992  0.6052
I  0.3179  0.5060  0.4008
I  0.6052  0.5992  0.9171
I  0.3948  0.9940  0.8119
I  0.8179  0.9171  0.3119
I  0.4940  0.6821  0.0992
I  0.5060  0.3179  0.9008
I  0.9171  0.8179  0.8119
Ni  0.0000  0.5000  0.5000

Output
Total energy = -234.2 eV per cell
Uncorrected formation energy = -406 meV/atom
DOS(E_F) = 58.9 states/eV/cell

---

The lowest uncorrected formation energy belongs to which entry?
Rb4NiI6

---

What is the uncorrected formation energy in the third record?
898 meV/atom

---

What is the total energy in the second record?
-16.9 eV per cell

---

The lowest total energy belongs to which entry?
Rb3Ni5I12